The following is a DFT calculation (PBE) of BeNiW2 after structural relaxation.

Results
Density of states at the Fermi level ... 0.608 states/eV per atom
Total moment ... 0.00 μB per cell
Energy relative to the elements ... 166 meV per atom
Crystal system ... tetragonal
SG ... P4mm

a = 3.138 Å, b = 3.138 Å, c = 5.434 Å
α = 90.00°, β = 90.00°, γ = 90.00°
Positions (direct):
1 Ni 0.500 0.500 0.724
2 W 0.000 0.000 0.001
3 W 0.500 0.500 0.266
4 Be 0.000 0.000 0.509